No. 1
Entry from Alexandria: a relaxed structure of BeRh2 (GGA-PBE).

Values from the calculation:
- N(E_F): 2.725 states/eV/f.u.
- Formation energy: -298 meV per atom

POSCAR file:
```
BeRh2
1.0
4.397 -1.358 0.000
4.397 1.358 0.000
-2.839 0.000 6.106
Be Rh
2 4
Cartesian
1.337 0.000 0.588 Be
4.618 0.000 5.518 Be
-0.223 0.000 3.610 Rh
3.758 0.000 1.208 Rh
2.197 0.000 4.898 Rh
6.178 0.000 2.496 Rh
```

No. 2
Entry from Alexandria: a relaxed structure of KLiTlPb (GGA-PBE).

Values from the calculation:
- N(E_F): 2.129 states/eV/f.u.
- Formation energy: -180 meV per atom
- Distance to the lowest polymorph of the same formula: 0 meV/atom

POSCAR file:
```
KLiTlPb
1.0
3.651 0.000 0.000
0.000 3.651 0.000
0.000 0.000 8.586
K Li Tl Pb
1 1 1 1
Cartesian
0.000 0.000 0.000 K
0.000 0.000 4.301 Li
1.825 1.825 2.634 Tl
1.825 1.825 5.909 Pb
```

No. 3
Entry from Alexandria: a relaxed structure of ZrMo3 (GGA-PBE).

Values from the calculation:
- N(E_F): 5.034 states/eV/f.u.
- Formation energy: 405 meV per atom

POSCAR file:
```
ZrMo3
1.0
5.649 0.000 0.000
-2.825 4.892 0.000
0.000 0.000 5.109
Zr Mo
2 6
Cartesian
0.000 3.262 1.277 Zr
2.825 1.631 3.832 Zr
0.000 1.591 3.832 Mo
-1.447 4.097 3.832 Mo
1.378 0.795 1.277 Mo
1.447 4.097 3.832 Mo
4.272 0.795 1.277 Mo
2.825 3.302 1.277 Mo
```

No. 4
Entry from Alexandria: a relaxed structure of V6GaOs2 (GGA-PBE).

Values from the calculation:
- N(E_F): 12.525 states/eV/f.u.
- Formation energy: -13 meV per atom

POSCAR file:
```
V6GaOs2
1.0
2.113 1.220 8.548
-2.113 1.220 8.548
0.000 -2.440 8.548
V Ga Os
6 1 2
Cartesian
0.000 0.000 2.592 V
0.000 0.000 5.209 V
0.000 0.000 7.757 V
0.000 0.000 17.888 V
0.000 0.000 20.436 V
0.000 0.000 23.053 V
0.000 0.000 12.823 Ga
0.000 0.000 10.192 Os
0.000 0.000 15.453 Os
```

No. 5
Entry from Alexandria: a relaxed structure of K3Nd3ThSe8 (GGA-PBE).

Values from the calculation:
- N(E_F): 0.000 states/eV/f.u.
- Calculated total energy: -5.2799 eV per atom

POSCAR file:
```
K3Nd3ThSe8
1.0
4.331 2.501 7.810
-4.331 2.501 7.810
0.000 -5.001 7.810
K Nd Th Se
3 3 1 8
Cartesian
-2.166 -1.250 7.810 K
-2.166 1.250 15.620 K
0.000 2.501 7.810 K
-4.331 0.000 11.715 Nd
-2.166 1.250 3.905 Nd
2.166 1.250 3.905 Nd
0.000 0.000 11.715 Th
0.000 0.000 5.542 Se
-2.130 -1.230 13.315 Se
0.000 -2.459 10.115 Se
-2.130 1.230 10.115 Se
2.130 -1.230 13.315 Se
0.000 2.459 13.315 Se
2.130 1.230 10.115 Se
0.000 0.000 17.888 Se
```

No. 6
Entry from Alexandria: a relaxed structure of Na2PmAgBi2 (GGA-PBE).

Values from the calculation:
- N(E_F): 0.524 states/eV/f.u.
- Formation energy: -481 meV per atom

POSCAR file:
```
Na2PmAgBi2
1.0
4.661 0.000 0.000
0.000 9.400 0.000
0.000 0.000 7.913
Na Pm Ag Bi
4 2 2 4
Cartesian
0.000 0.630 0.000 Na
0.000 8.769 3.956 Na
2.331 1.565 2.534 Na
2.331 7.834 6.490 Na
2.331 4.205 7.336 Pm
2.331 5.194 3.380 Pm
0.000 3.025 4.728 Ag
0.000 6.374 0.771 Ag
0.000 3.552 1.690 Bi
0.000 5.848 5.647 Bi
2.331 1.507 5.681 Bi
2.331 7.892 1.724 Bi
```

No. 7
Entry from Alexandria: a relaxed structure of Pr3HoTm3S8 (GGA-PBE).

Values from the calculation:
- N(E_F): 6.802 states/eV/f.u.
- Calculated total energy: -6.3922 eV per atom

POSCAR file:
```
Pr3HoTm3S8
1.0
3.925 2.266 6.604
-3.925 2.266 6.604
0.000 -4.533 6.604
Pr Ho Tm S
3 1 3 8
Cartesian
-1.963 -1.133 6.604 Pr
-1.963 1.133 13.208 Pr
0.000 2.266 6.604 Pr
0.000 0.000 9.906 Ho
-3.925 0.000 9.906 Tm
-1.963 1.133 3.302 Tm
1.963 1.133 3.302 Tm
-1.995 -1.152 11.429 S
0.000 0.000 4.795 S
0.000 -2.304 8.383 S
-1.995 1.152 8.383 S
1.995 -1.152 11.429 S
0.000 2.304 11.429 S
0.000 0.000 15.017 S
1.995 1.152 8.383 S
```

No. 8
Entry from Alexandria: a relaxed structure of PrDy3Er2Tm6 (GGA-PBE).

Values from the calculation:
- N(E_F): 15.888 states/eV/f.u.
- Formation energy: 23 meV per atom

POSCAR file:
```
PrDy3Er2Tm6
1.0
3.051 -5.280 0.000
3.051 5.280 0.000
-2.029 0.000 11.480
Pr Dy Er Tm
1 3 2 6
Cartesian
0.000 0.000 0.000 Pr
2.037 3.516 5.740 Dy
2.037 0.000 5.740 Dy
2.037 -3.516 5.740 Dy
3.051 1.761 0.000 Er
3.051 -1.761 0.000 Er
1.022 1.764 2.884 Tm
0.008 0.000 8.598 Tm
1.022 -1.764 2.884 Tm
3.051 1.764 8.596 Tm
4.065 0.000 2.882 Tm
3.051 -1.764 8.596 Tm
```

No. 9
Entry from Alexandria: a relaxed structure of LiTc2P (GGA-PBE).

Values from the calculation:
- N(E_F): 3.902 states/eV/f.u.
- Formation energy: 131 meV per atom

POSCAR file:
```
LiTc2P
1.0
1.481 -2.285 0.000
1.481 2.285 0.000
0.000 0.000 8.509
Li Tc P
1 2 1
Cartesian
0.000 0.000 0.000 Li
0.000 0.000 3.971 Tc
1.481 0.000 6.173 Tc
1.481 0.000 2.084 P
```

No. 10
Entry from Alexandria: a relaxed structure of ZnTc4Mo (GGA-PBE).

Values from the calculation:
- N(E_F): 6.308 states/eV/f.u.
- Formation energy: 265 meV per atom

POSCAR file:
```
ZnTc4Mo
1.0
0.000 3.602 3.602
3.602 0.000 3.602
3.602 3.602 0.000
Zn Tc Mo
1 4 1
Cartesian
0.000 0.000 0.000 Zn
4.507 2.696 2.696 Tc
2.696 4.507 2.696 Tc
2.696 2.696 4.507 Tc
4.507 4.507 4.507 Tc
1.801 1.801 1.801 Mo
```

No. 11
Entry from Alexandria: a relaxed structure of Tl2PbAu (GGA-PBE).

Values from the calculation:
- N(E_F): 1.695 states/eV/f.u.
- Formation energy: -26 meV per atom

POSCAR file:
```
Tl2PbAu
1.0
9.029 0.000 0.000
0.000 6.099 0.000
-3.381 0.000 8.192
Tl Pb Au
8 4 4
Cartesian
-0.540 0.508 2.925 Tl
-2.231 2.542 7.021 Tl
-0.072 3.604 4.516 Tl
1.619 5.544 0.420 Tl
4.029 0.555 7.773 Tl
5.719 2.495 3.676 Tl
7.878 3.557 1.172 Tl
6.188 5.591 5.268 Tl
0.746 0.748 6.330 Pb
2.437 2.301 2.233 Pb
3.211 3.798 5.959 Pb
4.902 5.350 1.863 Pb
0.633 4.111 7.444 Au
2.323 5.037 3.348 Au
3.324 1.062 4.844 Au
5.015 1.988 0.748 Au
```

No. 12
Entry from Alexandria: a relaxed structure of Rb2HI6Cl (GGA-PBE).

Values from the calculation:
- N(E_F): 7.925 states/eV/f.u.
- Calculated total energy: -1.9357 eV per atom

POSCAR file:
```
Rb2HI6Cl
1.0
-4.041 4.041 6.180
4.041 -4.041 6.180
4.041 4.041 -6.180
Rb H I Cl
2 1 6 1
Cartesian
4.041 0.000 3.090 Rb
0.000 4.041 3.090 Rb
0.000 0.000 0.000 H
1.709 1.709 0.000 I
2.332 -2.332 6.180 I
0.000 0.000 3.504 I
0.000 0.000 8.856 I
-2.332 2.332 6.180 I
2.332 2.332 6.180 I
0.000 0.000 6.180 Cl
```

No. 13
Entry from Alexandria: a relaxed structure of DySnPb (GGA-PBE).

Values from the calculation:
- N(E_F): 2.229 states/eV/f.u.
- Formation energy: -259 meV per atom
- Distance to the lowest polymorph of the same formula: 225 meV/atom

POSCAR file:
```
DySnPb
1.0
5.368 0.000 0.000
-2.684 4.649 0.000
0.000 0.000 3.435
Dy Sn Pb
1 1 1
Cartesian
0.000 0.000 0.000 Dy
0.000 3.099 1.705 Sn
2.684 1.550 1.725 Pb
```

No. 14
Entry from Alexandria: a relaxed structure of Cd2SeF (GGA-PBE).

Values from the calculation:
- N(E_F): 0.919 states/eV/f.u.
- Distance to the lowest polymorph of the same formula: 0 meV/atom

POSCAR file:
```
Cd2SeF
1.0
4.266 0.000 0.000
2.133 3.711 0.000
2.124 1.021 6.467
Cd Se F
2 1 1
Cartesian
0.000 0.000 0.000 Cd
4.275 2.508 3.707 Cd
4.266 2.471 0.968 Se
2.140 1.277 4.150 F
```

No. 15
Entry from Alexandria: a relaxed structure of YScCo (GGA-PBE).

Values from the calculation:
- N(E_F): 2.410 states/eV/f.u.
- Formation energy: -93 meV per atom
- Distance to the lowest polymorph of the same formula: 77 meV/atom

POSCAR file:
```
YScCo
1.0
6.125 0.000 0.000
0.000 3.802 0.000
-0.657 0.000 6.128
Y Sc Co
2 2 2
Cartesian
1.180 0.000 1.935 Y
4.287 0.000 4.193 Y
1.179 1.901 5.033 Sc
4.288 1.901 1.095 Sc
-0.329 1.901 3.064 Co
3.062 0.000 0.000 Co
```

No. 16
Entry from Alexandria: a relaxed structure of ThSc4Rh (GGA-PBE).

Values from the calculation:
- N(E_F): 7.839 states/eV/f.u.
- Formation energy: -291 meV per atom

POSCAR file:
```
ThSc4Rh
1.0
3.335 0.000 0.000
0.000 3.335 0.000
0.000 0.000 12.582
Th Sc Rh
1 4 1
Cartesian
0.000 0.000 0.000 Th
0.000 0.000 4.756 Sc
0.000 0.000 7.826 Sc
1.667 1.667 2.389 Sc
1.667 1.667 10.193 Sc
1.667 1.667 6.291 Rh
```

No. 17
Entry from Alexandria: a relaxed structure of LaMn2W (GGA-PBE).

Values from the calculation:
- N(E_F): 4.902 states/eV/f.u.
- Formation energy: 668 meV per atom
- Distance to the lowest polymorph of the same formula: 377 meV/atom

POSCAR file:
```
LaMn2W
1.0
1.535 0.886 9.136
-1.535 0.886 9.136
0.000 -1.773 9.136
La Mn W
1 2 1
Cartesian
0.000 0.000 0.000 La
0.000 0.000 6.435 Mn
0.000 0.000 20.971 Mn
0.000 0.000 13.703 W
```

No. 18
Entry from Alexandria: a relaxed structure of Pr3Cd2BRu3 (GGA-PBE).

Values from the calculation:
- N(E_F): 9.328 states/eV/f.u.
- Formation energy: -73 meV per atom

POSCAR file:
```
Pr3Cd2BRu3
1.0
7.892 0.000 0.000
-3.946 6.834 0.000
0.000 0.000 3.549
Pr Cd B Ru
3 2 1 3
Cartesian
-1.347 2.333 0.000 Pr
2.694 0.000 0.000 Pr
2.599 4.502 0.000 Pr
0.000 4.556 1.775 Cd
3.946 2.278 1.775 Cd
0.000 0.000 0.000 B
-3.140 5.439 1.775 Ru
0.806 1.395 1.775 Ru
6.281 0.000 1.775 Ru
```

No. 19
Entry from Alexandria: a relaxed structure of InHg2Cl (GGA-PBE).

Values from the calculation:
- N(E_F): 0.880 states/eV/f.u.
- Distance to the lowest polymorph of the same formula: 159 meV/atom

POSCAR file:
```
InHg2Cl
1.0
2.729 -2.741 0.000
2.729 2.741 0.000
0.000 0.000 7.310
In Hg Cl
1 2 1
Cartesian
0.000 0.000 0.000 In
2.729 0.000 1.895 Hg
2.729 0.000 5.415 Hg
0.000 0.000 3.655 Cl
```

No. 20
Entry from Alexandria: a relaxed structure of Y2FeTc (GGA-PBE).

Values from the calculation:
- N(E_F): 7.280 states/eV/f.u.
- Formation energy: 195 meV per atom

POSCAR file:
```
Y2FeTc
1.0
3.493 0.000 0.000
0.000 3.493 0.000
0.000 0.000 6.721
Y Fe Tc
2 1 1
Cartesian
0.000 0.000 1.656 Y
0.000 0.000 5.065 Y
1.747 1.747 3.360 Fe
1.747 1.747 0.000 Tc
```